(1)
Here is a relaxed Rb3Pm2TmO6 crystal from Alexandria. Energies are from PBE-GGA.

The structure in POSCAR format:
```
Rb3Pm2TmO6
1.0
6.193 -0.001 0.001
-3.096 5.364 0.001
-1.032 -1.787 6.580
Rb O Tm Pm
3 6 1 2
Cartesian
-2.076 3.583 3.291
4.141 -0.007 3.291
1.032 1.788 3.291
-0.995 1.724 1.166
2.101 3.639 1.167
3.060 1.852 5.416
-0.037 -0.063 5.415
0.075 3.576 5.416
1.990 0.000 1.166
0.000 0.000 0.000
0.000 3.575 0.001
3.097 1.787 0.001
```

***

(2)
Here is a relaxed Rb3PmU2O9 crystal from Alexandria. Energies are from PBE-GGA.

The structure in POSCAR format:
```
Rb3PmU2O9
1.0
6.220 0.000 0.000
-3.110 5.386 0.000
0.000 0.000 7.616
O Rb U Pm
9 3 2 1
Cartesian
-1.555 2.693 0.000
-1.451 4.429 2.418
3.110 3.471 5.198
1.555 2.693 0.000
1.659 0.958 5.198
3.110 0.000 0.000
1.451 4.429 2.418
4.561 0.958 5.198
0.000 1.915 2.418
0.000 3.591 5.046
3.110 1.795 2.570
0.000 0.000 0.000
3.110 1.795 6.371
0.000 3.591 1.245
0.000 0.000 3.808
```

***

Record order is preserved below.
Formation energy without anion corrections: -2.63 -2.85 eV per atom
Record order is preserved below.
DOS(E_F): 0.000 0.000 states/eV per atom